! PmGa2Pd4 | Alexandria via LeMat-Bulk | GGA-PBE | optimized geometry; values from VASP
! - V (Å³ per cell) = 247.9
! - mass density (g cm⁻³) = 9.5
! - M_tot (μB per atom) = 0.0000
! - formation energy (eV per atom) = -0.74
&SYSTEM
  ibrav = 0, nat = 14, ntyp = 3
/
ATOMIC_SPECIES
Pm 145.00 Pm.upf
Ga 69.72 Ga.upf
Pd 106.42 Pd.upf
CELL_PARAMETERS angstrom
7.8813 0.0000 0.0000
0.0000 7.8813 0.0000
0.0000 0.0000 3.9906
ATOMIC_POSITIONS angstrom
Pm 0.0000 0.0000 0.0000
Pm 3.9406 3.9406 1.9953
Ga 1.7467 1.7467 1.9953
Ga 2.1939 5.6874 0.0000
Ga 5.6874 2.1939 0.0000
Ga 6.1345 6.1345 1.9953
Pd 0.6401 5.2621 1.9953
Pd 1.3215 3.3005 0.0000
Pd 2.6191 7.2411 1.9953
Pd 3.3005 1.3215 0.0000
Pd 4.5808 6.5598 0.0000
Pd 5.2621 0.6401 1.9953
Pd 6.5598 4.5808 0.0000
Pd 7.2411 2.6191 1.9953